Density functional theory data (PBE with a Hubbard U) for VHg3O4 after structural relaxation.

Geometry as CIF:
```
data_VHg3O4
_cell_length_a 7.535
_cell_length_b 6.558
_cell_length_c 5.504
_cell_angle_alpha 90.00
_cell_angle_beta 90.00
_cell_angle_gamma 90.00
_symmetry_space_group_name_H-M 'P m n 21'
_symmetry_Int_Tables_number 31
_symmetry_space_group_name_Hall 'P 2ac -2'
loop_
_atom_site_label
_atom_site_fract_x
_atom_site_fract_y
_atom_site_fract_z
V1 0.000 0.063 0.000
Hg1 0.000 0.766 0.513
Hg2 0.215 0.396 0.498
O1 0.000 0.105 0.684
O2 0.000 0.794 0.072
O3 0.185 0.173 0.132
```

E_tot ... -4.376 eV per atom
N(E_F) ... 0.23 states/eV per atom